# 1
Ac4HoSe6: optimized geometry, PBE-GGA.

Unit cell a=8.6641 b=8.6641 c=8.6641 alpha=89.59 beta=89.59 gamma=90.41
Sites, in units of the cell vectors:
1 Se 0.6906 0.0618 0.0808
2 Se 0.4382 0.8094 0.4192
3 Se 0.5618 0.1906 0.5808
4 Se 0.9192 0.6906 0.9382
5 Se 0.0808 0.3094 0.0618
6 Se 0.9382 0.0808 0.6906
7 Se 0.8094 0.5808 0.5618
8 Se 0.5808 0.4382 0.1906
9 Se 0.0618 0.9192 0.3094
10 Se 0.1906 0.4192 0.4382
11 Se 0.3094 0.9382 0.9192
12 Se 0.4192 0.5618 0.8094
13 Ac 0.2500 0.2500 0.7500
14 Ac 0.1294 0.7500 0.6294
15 Ac 0.6294 0.8706 0.7500
16 Ac 0.3706 0.1294 0.2500
17 Ac 0.7500 0.7500 0.2500
18 Ac 0.2500 0.6294 0.1294
19 Ac 0.7500 0.3706 0.8706
20 Ac 0.8706 0.2500 0.3706
21 Ho 0.0000 0.0000 0.0000
22 Ho 0.5000 0.5000 0.5000

Properties
total magnetic moment	0.0	Bohr magnetons per cell
E	-5.667	eV per atom
ρ	7.9	g/cm3
symmetry	R-3c, No. 167
ΔE_f (raw)	-1.86	eV/atom


# 2
Ac2HoSe4: optimized geometry, PBE-GGA.

Unit cell a=4.1213 b=7.6630 c=14.4598 alpha=90.00 beta=90.00 gamma=105.60
Sites, in units of the cell vectors:
1 Se 0.7851 0.5701 0.3714
2 Se 0.2149 0.4299 0.6286
3 Se 0.7851 0.5701 0.1286
4 Se 0.9909 0.9818 0.7500
5 Se 0.5000 0.0000 0.0000
6 Se 0.2149 0.4299 0.8714
7 Se 0.0091 0.0182 0.2500
8 Se 0.5000 0.0000 0.5000
9 Ho 0.3705 0.7410 0.2500
10 Ho 0.6295 0.2590 0.7500
11 Ac 0.1308 0.2616 0.0766
12 Ac 0.8692 0.7384 0.5766
13 Ac 0.8692 0.7384 0.9234
14 Ac 0.1308 0.2616 0.4234

Properties
polymorph energy (0 for the lowest one)	48.7	meV per atom
total magnetic moment	0.0	Bohr magnetons per cell
E	-5.643	eV per atom
ρ	7.1	g/cm3
symmetry	Cmcm, No. 63
ΔE_f (raw)	-1.82	eV/atom


# 3
AcHoSe: optimized geometry, PBE-GGA.

Unit cell a=3.8582 b=3.8582 c=6.8899 alpha=106.26 beta=106.26 gamma=90.00
Last column: magnetic moment on the atom in μB.
Sites, in units of the cell vectors:
1 Ac 0.0072 0.0072 0.0144  0.10
2 Se 0.2880 0.2880 0.5760  0.01
3 Ho 0.7048 0.7048 0.4097  0.23

Properties
polymorph energy (0 for the lowest one)	117.9	meV per atom
total magnetic moment	0.6	Bohr magnetons per cell
E	-4.961	eV per atom
ρ	8.3	g/cm3
symmetry	I4mm, No. 107
ΔE_f (raw)	-0.90	eV/atom